1.
The following is a GGA-PBE calculation of CePrAlAg after structural relaxation, from Alexandria via LeMat-Bulk.

Space-group type = F-43m (216)

Cell: 5.3170 5.3170 5.3170 Å, 60.00 60.00 60.00°
Atoms (fractional coordinates):
Ag (0.2500, 0.2500, 0.2500)
Ce (0.0000, 0.0000, 0.0000)
Al (0.7500, 0.7500, 0.7500)
Pr (0.5000, 0.5000, 0.5000)


2.
The following is a GGA-PBE calculation of NdHoAu after structural relaxation, from Alexandria via LeMat-Bulk.

Distance to the lowest polymorph of the same formula = 0.201 eV per atom
Space-group type = F-43m (216)

Cell: 5.0472 5.0472 5.0472 Å, 60.00 60.00 60.00°
Atoms (fractional coordinates):
Au (0.2500, 0.2500, 0.2500)
Nd (0.0000, 0.0000, 0.0000)
Ho (0.5000, 0.5000, 0.5000)


3.
The following is a GGA-PBE calculation of Li2PtAu after structural relaxation, from Alexandria via LeMat-Bulk.

Space-group type = Pmm2 (25)

Cell: 2.7177 4.1907 5.3230 Å, 90.00 90.00 90.00°
Atoms (fractional coordinates):
Pt (0.0000, 0.0000, 0.4760)
Li (0.5000, 0.5000, 0.2713)
Au (0.5000, 0.5000, 0.7667)
Li (0.0000, 0.0000, 0.9860)


4.
The following is a GGA-PBE calculation of AcHoP2Rh5 after structural relaxation, from Alexandria via LeMat-Bulk.

Space-group type = P4/mmm (123)

Cell: 4.1249 4.1249 10.5579 Å, 90.00 90.00 90.00°
Atoms (fractional coordinates):
Rh (0.5000, 0.0000, 0.8075)
Ac (0.0000, 0.0000, 0.5000)
P (0.5000, 0.5000, 0.7176)
P (0.5000, 0.5000, 0.2824)
Rh (0.5000, 0.5000, 0.5000)
Rh (0.0000, 0.5000, 0.8075)
Rh (0.5000, 0.0000, 0.1925)
Rh (0.0000, 0.5000, 0.1925)
Ho (0.0000, 0.0000, 0.0000)


5.
The following is a GGA-PBE calculation of TbDy2Ho3Er6 after structural relaxation, from Alexandria via LeMat-Bulk.

Space-group type = C2/m (12)

Cell: 6.0818 6.0818 11.6344 Å, 94.98 94.98 119.94°
Atoms (fractional coordinates):
Ho (0.5000, 0.5000, 0.5000)
Er (0.2497, 0.2497, 0.7495)
Er (0.0837, 0.4171, 0.2506)
Dy (0.3333, 0.6667, 0.0000)
Ho (0.8333, 0.1667, 0.5000)
Er (0.4171, 0.0837, 0.2506)
Er (0.9163, 0.5829, 0.7494)
Ho (0.1667, 0.8333, 0.5000)
Er (0.5829, 0.9163, 0.7494)
Tb (0.0000, 0.0000, 0.0000)
Dy (0.6667, 0.3333, 0.0000)
Er (0.7503, 0.7503, 0.2505)


6.
The following is a GGA-PBE calculation of V2ReBAu after structural relaxation, from Alexandria via LeMat-Bulk.

Space-group type = P4/mmm (123)

Cell: 4.5881 5.0710 4.5881 Å, 90.00 90.00 90.00°
Atoms (fractional coordinates):
V (0.0000, 0.0000, 0.5000)
B (0.5000, 0.5000, 0.5000)
Au (0.0000, 0.5000, 0.0000)
V (0.5000, 0.0000, 0.0000)
Re (0.0000, 0.0000, 0.0000)


Number 1: magnetic moment 1.497 μB/cell, formation energy -0.179 eV/atom, VASP energy -18.0 eV/cell. Number 2: magnetic moment 0.000 μB/cell, formation energy -0.401 eV/atom, VASP energy -13.8 eV/cell. Number 3: magnetic moment 0.000 μB/cell, formation energy -0.444 eV/atom, VASP energy -14.9 eV/cell. Number 4: magnetic moment 0.000 μB/cell, formation energy -0.817 eV/atom, VASP energy -63.6 eV/cell. Number 5: magnetic moment 0.000 μB/cell, formation energy 0.020 eV/atom, VASP energy -54.7 eV/cell. Number 6: magnetic moment 2.856 μB/cell, formation energy 2.010 eV/atom, VASP energy -30.6 eV/cell.